Here is a geometry-optimized MnCoN2O structure from Alexandria via LeMat-Bulk. Energies are from GGA+U.

Geometry as extended XYZ:
```
5
Lattice="3.6093 0.0000 0.0000 0.0000 3.6093 0.0000 0.0000 0.0000 4.0184" Properties=species:S:1:pos:R:3 pbc="T T T"
Mn 0.0000 0.0000 0.0000
Co 1.8047 1.8047 2.0092
N 0.0000 1.8047 2.0092
N 1.8047 0.0000 2.0092
O 1.8047 1.8047 0.0000
```

Values from the calculation:
M_tot: 1.313 μB/f.u.
Electronic total energy: -6.215 eV per atom